Entry 1:
Entry from the Alexandria database: ErSc4Al after structural relaxation (GGA-PBE).

abc: 8.712 5.041 6.468
angles: 90.00 90.18 90.00
Space group C2/m (No. 12)
Inequivalent atoms, fractional coordinates:
Er: 0.000 0.000 0.000
Sc: 0.167 0.500 0.151
Sc: 0.167 0.500 0.646
Al: 0.000 0.000 0.500

Calculated values
- DOS at the Fermi energy: 1.45 states/eV/atom
- DFT total energy: -5.6624 eV/atom
- Total moment: 0.0 μB/cell



Entry 2:
Entry from the Alexandria database: Pr2PdN after structural relaxation (GGA-PBE).

abc: 3.5462 3.5462 25.2677
angles: 90.00 90.00 120.00
Space group R-3m (No. 166, hexagonal axes)
Inequivalent atoms, fractional coordinates:
Pr: 0.0000 0.0000 0.1094
Pd: 0.0000 0.0000 0.0000
N: 0.0000 0.0000 0.5000

Calculated values
- DOS at the Fermi energy: 0.57 states/eV/atom
- Formation energy (no corrections): -54 kJ/mol of atoms
- DFT total energy: -6.3265 eV/atom
- Total moment: 0.0 μB/cell
- Energy above the lowest structure with this stoichiometry: 0.0000 eV per atom